Here is a geometry-optimized PuPdPt structure from the Alexandria database. Energies are from PBE.

Properties
Calculated formation energy: -709 meV/atom
E: -9.231 eV/atom
ΔE to the lowest computed polymorph: 0 meV/atom
Total moment: 10.66 Bohr magnetons per cell
Space-group type: Imma

Cell and atoms, written as POSCAR:
```
PuPdPt
1.0
-1.278 2.738 -4.537
2.430 -4.866 -0.363
-3.921 -2.201 3.081
Pd Pu Pt
2 2 2
Direct
0.500 0.500 0.500 Pd
0.000 0.500 0.000 Pd
0.250 0.123 0.873 Pu
0.750 0.877 0.127 Pu
0.500 0.000 0.500 Pt
0.000 0.500 0.500 Pt
```

***

Here is a geometry-optimized TiAg2Au2 structure from the Alexandria database. Energies are from PBE.

Properties
Calculated formation energy: 132 meV/atom
E: -3.898 eV/atom
ΔE to the lowest computed polymorph: 50 meV/atom
Total moment: 3.84 Bohr magnetons per cell
Space-group type: P4/mbm

Cell and atoms, written as POSCAR:
```
TiAg2Au2
1.0
7.791 0.000 0.000
0.000 7.791 0.000
0.000 0.000 3.087
Ag Ti Au
4 2 4
Direct
0.625 0.125 0.000 Ag
0.375 0.875 0.000 Ag
0.875 0.625 0.000 Ag
0.125 0.375 0.000 Ag
0.500 0.500 0.000 Ti
0.000 0.000 0.000 Ti
0.825 0.325 0.500 Au
0.675 0.825 0.500 Au
0.325 0.175 0.500 Au
0.175 0.675 0.500 Au
```

***

Here is a geometry-optimized SrMg2Re structure from the Alexandria database. Energies are from PBE.

Properties
Calculated formation energy: 1023 meV/atom
E: -3.307 eV/atom
ΔE to the lowest computed polymorph: 496 meV/atom
Total moment: 2.10 Bohr magnetons per cell
Space-group type: I-42d

Cell and atoms, written as POSCAR:
```
SrMg2Re
1.0
-1.116 4.217 1.628
-3.891 -1.750 1.865
2.404 -0.714 10.158
Mg Re Sr
4 2 2
Direct
0.032 0.625 0.250 Mg
0.375 0.282 0.750 Mg
0.875 0.968 0.750 Mg
0.718 0.125 0.250 Mg
0.750 0.250 0.500 Re
0.000 0.000 0.000 Re
0.250 0.750 0.500 Sr
0.500 0.500 0.000 Sr
```

***

Here is a geometry-optimized Ni4SnB structure from the Alexandria database. Energies are from PBE.

Properties
Calculated formation energy: -136 meV/atom
E: -5.770 eV/atom
Total moment: 0.00 Bohr magnetons per cell
Space-group type: C2/c

Cell and atoms, written as POSCAR:
```
Ni4SnB
1.0
-1.825 0.955 4.044
-2.612 -4.895 -0.022
6.222 -1.342 0.581
Sn Ni B
2 8 2
Direct
0.885 0.750 0.000 Sn
0.115 0.250 0.000 Sn
0.304 0.650 0.401 Ni
0.493 0.945 0.189 Ni
0.507 0.055 0.811 Ni
0.696 0.350 0.599 Ni
0.696 0.445 0.189 Ni
0.304 0.555 0.811 Ni
0.903 0.850 0.599 Ni
0.097 0.150 0.401 Ni
0.500 0.000 0.500 B
0.000 0.500 0.500 B
```